(1)
Material: KTaSb3
Method: DFT, PBE-GGA
State: optimized geometry

POSCAR file:
```
KTaSb3
1.0
5.4545 0.0000 0.0000
0.0000 5.4545 0.0000
0.0000 0.0000 5.4545
K Ta Sb
1 1 3
direct
0.0000 0.0000 0.0000
0.5000 0.5000 0.5000
0.0000 0.5000 0.5000
0.5000 0.0000 0.5000
0.5000 0.5000 0.0000
```

- E_form (uncorrected) (eV per atom) = 0.0314
- total DFT energy (no corrections) (eV/atom) = -5.03
- polymorph energy (0 for the lowest one) (meV/atom) = 0
- M_tot (μB per cell) = 0.000
- calculated density (Mg/m³) = 5.99



(2)
Material: KTa3Sb
Method: DFT, PBE-GGA
State: optimized geometry

POSCAR file:
```
KTa3Sb
1.0
4.7345 0.0000 0.0000
0.0000 4.7345 0.0000
0.0000 0.0000 4.7345
K Ta Sb
1 3 1
direct
0.0000 0.0000 0.0000
0.0000 0.0000 0.5000
0.0000 0.5000 0.0000
0.5000 0.0000 0.0000
0.5000 0.5000 0.5000
```

- E_form (uncorrected) (eV per atom) = 2.8051
- total DFT energy (no corrections) (eV/atom) = -5.35
- polymorph energy (0 for the lowest one) (meV/atom) = 874
- M_tot (μB per cell) = 0.000
- calculated density (Mg/m³) = 11.01